[1]
Computed, not measured: an optimized crystal structure of ZnCdBAu2 at the PBEsol level of DFT.

The structure in CIF format:
```
data_ZnCdBAu2
_cell_length_a 3.836
_cell_length_b 4.850
_cell_length_c 4.850
_cell_angle_alpha 90.00
_cell_angle_beta 90.00
_cell_angle_gamma 90.00
_space_group_name_H-M_alt 'P 1'
_space_group_IT_number 1
loop_
_space_group_symop_operation_xyz
'x,y,z'
loop_
_atom_site_label
_atom_site_type_symbol
_atom_site_fract_x
_atom_site_fract_y
_atom_site_fract_z
Cd1 Cd 0.500 0.500 0.500
B1 B 0.500 0.000 0.000
Au1 Au 0.000 0.000 0.500
Au2 Au 0.000 0.500 0.000
Zn1 Zn 0.000 0.000 0.000
```

Output
- ΔE_f: 749 meV per atom
- Space-group type: P4/mmm (123)

---

[2]
Computed, not measured: an optimized crystal structure of Rb3BaI at the PBEsol level of DFT.

The structure in CIF format:
```
data_Rb3BaI
_cell_length_a 8.319
_cell_length_b 8.319
_cell_length_c 8.319
_cell_angle_alpha 90.00
_cell_angle_beta 90.00
_cell_angle_gamma 90.00
_space_group_name_H-M_alt 'P 1'
_space_group_IT_number 1
loop_
_space_group_symop_operation_xyz
'x,y,z'
loop_
_atom_site_label
_atom_site_type_symbol
_atom_site_fract_x
_atom_site_fract_y
_atom_site_fract_z
Rb1 Rb 0.000 0.000 0.500
Rb2 Rb 0.000 0.500 0.000
Rb3 Rb 0.500 0.000 0.000
Ba1 Ba 0.000 0.000 0.000
I1 I 0.500 0.500 0.500
```

Output
- Space-group type: Pm-3m (221)
- Formation energy without anion corrections: 0.21 eV/atom

---

[3]
Computed, not measured: an optimized crystal structure of Al2Ga2Au at the PBEsol level of DFT.

The structure in CIF format:
```
data_Al2Ga2Au
_cell_length_a 3.647
_cell_length_b 3.647
_cell_length_c 7.098
_cell_angle_alpha 104.89
_cell_angle_beta 104.89
_cell_angle_gamma 90.00
_space_group_name_H-M_alt 'P 1'
_space_group_IT_number 1
loop_
_space_group_symop_operation_xyz
'x,y,z'
loop_
_atom_site_label
_atom_site_type_symbol
_atom_site_fract_x
_atom_site_fract_y
_atom_site_fract_z
Al1 Al 0.403 0.403 0.805
Al2 Al 0.597 0.597 0.195
Ga1 Ga 0.750 0.250 0.500
Ga2 Ga 0.250 0.750 0.500
Au1 Au 0.000 0.000 0.000
```

Output
- ΔE_f: 60 meV per atom
- Space-group type: I4/mmm (139)

---

[4]
Computed, not measured: an optimized crystal structure of ZnCd2Ag2 at the PBEsol level of DFT.

The structure in CIF format:
```
data_ZnCd2Ag2
_cell_length_a 3.955
_cell_length_b 6.848
_cell_length_c 6.848
_cell_angle_alpha 90.00
_cell_angle_beta 90.00
_cell_angle_gamma 90.00
_space_group_name_H-M_alt 'P 1'
_space_group_IT_number 1
loop_
_space_group_symop_operation_xyz
'x,y,z'
loop_
_atom_site_label
_atom_site_type_symbol
_atom_site_fract_x
_atom_site_fract_y
_atom_site_fract_z
Zn1 Zn 0.000 0.500 0.500
Zn2 Zn 0.000 0.000 0.000
Ag1 Ag 0.000 0.353 0.853
Ag2 Ag 0.000 0.147 0.353
Ag3 Ag 0.000 0.647 0.147
Ag4 Ag 0.000 0.853 0.647
Cd1 Cd 0.500 0.657 0.843
Cd2 Cd 0.500 0.157 0.657
Cd3 Cd 0.500 0.843 0.343
Cd4 Cd 0.500 0.343 0.157
```

Output
- ΔE_f: 43 meV per atom
- Space-group type: P4/mbm (127)

---

[5]
Computed, not measured: an optimized crystal structure of TaPbS2 at the PBEsol level of DFT.

The structure in CIF format:
```
data_TaPbS2
_cell_length_a 3.320
_cell_length_b 3.320
_cell_length_c 17.753
_cell_angle_alpha 90.00
_cell_angle_beta 90.00
_cell_angle_gamma 120.00
_space_group_name_H-M_alt 'P 1'
_space_group_IT_number 1
loop_
_space_group_symop_operation_xyz
'x,y,z'
loop_
_atom_site_label
_atom_site_type_symbol
_atom_site_fract_x
_atom_site_fract_y
_atom_site_fract_z
S1 S 0.000 0.000 0.837
S2 S 0.000 0.000 0.337
S3 S 0.000 0.000 0.663
S4 S 0.000 0.000 0.163
Pb1 Pb 0.000 0.000 0.500
Pb2 Pb 0.000 0.000 0.000
Ta1 Ta 0.333 0.667 0.250
Ta2 Ta 0.667 0.333 0.750
```

Output
- Space-group type: P6_3/mmc (194)
- Formation energy without anion corrections: -0.93 eV/atom

---

[6]
Computed, not measured: an optimized crystal structure of TeWI2Cl at the PBEsol level of DFT.

The structure in CIF format:
```
data_TeWI2Cl
_cell_length_a 5.168
_cell_length_b 5.358
_cell_length_c 5.358
_cell_angle_alpha 90.00
_cell_angle_beta 90.00
_cell_angle_gamma 90.00
_space_group_name_H-M_alt 'P 1'
_space_group_IT_number 1
loop_
_space_group_symop_operation_xyz
'x,y,z'
loop_
_atom_site_label
_atom_site_type_symbol
_atom_site_fract_x
_atom_site_fract_y
_atom_site_fract_z
Te1 Te 0.500 0.000 0.000
I1 I 0.000 0.000 0.500
I2 I 0.000 0.500 0.000
W1 W 0.000 0.000 0.000
Cl1 Cl 0.500 0.500 0.500
```

Output
- Space-group type: P4/mmm (123)
- Formation energy without anion corrections: 0.40 eV/atom

---

[7]
Computed, not measured: an optimized crystal structure of NbGeB3 at the PBEsol level of DFT.

The structure in CIF format:
```
data_NbGeB3
_cell_length_a 3.952
_cell_length_b 3.952
_cell_length_c 3.952
_cell_angle_alpha 90.00
_cell_angle_beta 90.00
_cell_angle_gamma 90.00
_space_group_name_H-M_alt 'P 1'
_space_group_IT_number 1
loop_
_space_group_symop_operation_xyz
'x,y,z'
loop_
_atom_site_label
_atom_site_type_symbol
_atom_site_fract_x
_atom_site_fract_y
_atom_site_fract_z
B1 B 0.000 0.000 0.500
B2 B 0.000 0.500 0.000
B3 B 0.500 0.000 0.000
Ge1 Ge 0.000 0.000 0.000
Nb1 Nb 0.500 0.500 0.500
```

Output
- ΔE_f: 1719 meV per atom
- Space-group type: Pm-3m (221)

---

[8]
Computed, not measured: an optimized crystal structure of Sr2TaAsBr at the PBEsol level of DFT.

The structure in CIF format:
```
data_Sr2TaAsBr
_cell_length_a 4.726
_cell_length_b 5.990
_cell_length_c 5.990
_cell_angle_alpha 90.00
_cell_angle_beta 90.00
_cell_angle_gamma 90.00
_space_group_name_H-M_alt 'P 1'
_space_group_IT_number 1
loop_
_space_group_symop_operation_xyz
'x,y,z'
loop_
_atom_site_label
_atom_site_type_symbol
_atom_site_fract_x
_atom_site_fract_y
_atom_site_fract_z
Sr1 Sr 0.000 0.000 0.500
Sr2 Sr 0.000 0.500 0.000
Br1 Br 0.500 0.000 0.000
Ta1 Ta 0.000 0.000 0.000
As1 As 0.500 0.500 0.500
```

Output
- Space-group type: P4/mmm (123)
- Formation energy without anion corrections: 0.53 eV/atom